[1]
Density functional theory data (PBE-GGA) for an optimized crystal structure of ScGa3Ni.

The calculation puts the calculated total energy at -4.63 eV/atom. The calculation puts the total magnetization at 0.00 μB/f.u. The crystal system is monoclinic. For the energy above the most stable polymorph in this dataset, the calculation gives 129 meV/atom. For the formation energy, the calculation gives -0.39 eV per atom.

Cell lengths 5.4841, 8.1744, 7.4984 Å; angles 103.22, 90.00, 90.00 degrees
Fractional coordinates of all 20 atoms:
Sc 0.1057 0.7766 0.3552
Sc 0.8943 0.2234 0.6448
Sc 0.6057 0.7234 0.6448
Sc 0.3943 0.2766 0.3552
Ga 0.8400 0.5592 0.8987
Ga 0.1600 0.4408 0.1013
Ga 0.3401 0.9408 0.1013
Ga 0.6599 0.0592 0.8987
Ga 0.5647 0.6256 0.2205
Ga 0.4353 0.3744 0.7795
Ga 0.0647 0.8744 0.7795
Ga 0.9353 0.1256 0.2205
Ga 0.8463 0.4385 0.3826
Ga 0.1537 0.5615 0.6174
Ga 0.3464 0.0615 0.6174
Ga 0.6536 0.9385 0.3826
Ni 0.7176 0.3405 0.0518
Ni 0.2824 0.6595 0.9482
Ni 0.2176 0.1595 0.9482
Ni 0.7824 0.8405 0.0518

[2]
Density functional theory data (PBE-GGA) for an optimized crystal structure of TmCoTe.

The calculation puts the calculated total energy at -5.08 eV/atom. The calculation puts the total magnetization at 0.16 μB/f.u. The crystal system is orthorhombic. For the formation energy (no corrections), the calculation gives -0.17 eV/atom.

Cell lengths 3.6780, 3.6719, 11.3438 Å; angles 90.00, 90.00, 120.05 degrees
Fractional coordinates of all 6 atoms:
Co 0.6116 0.2232 0.0000
Co 0.2768 0.5537 0.5000
Tm 0.6112 0.2223 0.3507
Tm 0.6112 0.2223 0.6493
Te 0.2779 0.5558 0.8622
Te 0.2779 0.5558 0.1378

[3]
Density functional theory data (PBE-GGA) for an optimized crystal structure of Na2MoPbBr8.

The calculation puts the calculated total energy at -3.45 eV/atom. The calculation puts the total magnetization at 1.99 μB/f.u. The crystal system is monoclinic. For the formation energy (no corrections), the calculation gives -0.91 eV/atom.

Cell lengths 7.0226, 6.5586, 8.6833 Å; angles 89.99, 90.00, 92.60 degrees
Fractional coordinates of all 12 atoms:
Na 0.5000 0.4998 0.7520
Na 0.5000 0.5002 0.2480
Mo 0.0000 0.0000 0.0000
Pb 0.0000 0.0000 0.5000
Br 0.1391 0.7739 0.2101
Br 0.6922 0.7737 0.9999
Br 0.8607 0.2259 0.2100
Br 0.8609 0.2261 0.7899
Br 0.3078 0.2263 0.0001
Br 0.1393 0.7741 0.7900
Br 0.6558 0.7328 0.5001
Br 0.3442 0.2672 0.4999

[4]
Density functional theory data (PBE-GGA) for an optimized crystal structure of Y2PuSb3.

The calculation puts the calculated total energy at -7.57 eV/atom. The calculation puts the total magnetization at 5.06 μB/f.u. The crystal system is orthorhombic. For the energy above the most stable polymorph in this dataset, the calculation gives 0 meV/atom. For the formation energy (no corrections), the calculation gives -0.97 eV/atom.

Cell lengths 4.4140, 6.2220, 7.6154 Å; angles 114.11, 106.85, 90.00 degrees
Fractional coordinates of all 6 atoms:
Y 0.8333 0.8333 0.1667
Y 0.1667 0.1667 0.8333
Pu 0.5000 0.5000 0.5000
Sb 0.8335 0.3335 0.1669
Sb 0.1665 0.6665 0.8331
Sb 0.5000 0.0000 0.5000

[5]
Density functional theory data (PBE-GGA) for an optimized crystal structure of MoOsPt.

The calculation puts the calculated total energy at -9.44 eV/atom. The calculation puts the total magnetization at 0.00 μB/f.u. The crystal system is orthorhombic. For the energy above the most stable polymorph in this dataset, the calculation gives 136 meV/atom. For the formation energy, the calculation gives -0.07 eV per atom.

Cell lengths 4.8338, 4.8338, 4.8338 Å; angles 147.27, 131.33, 59.89 degrees
Fractional coordinates of all 3 atoms:
Mo 0.9949 0.9949 0.0000
Os 0.3372 0.3372 0.0000
Pt 0.6679 0.6679 0.0000

[6]
Density functional theory data (PBE-GGA) for an optimized crystal structure of EuEr3Co.

The calculation puts the calculated total energy at -6.29 eV/atom. The calculation puts the total magnetization at 7.53 μB/f.u. The crystal system is cubic. For the formation energy, the calculation gives -0.08 eV per atom.

Cell lengths 5.2897, 5.2897, 5.2897 Å; angles 90.00, 90.00, 90.00 degrees
Fractional coordinates of all 5 atoms:
Eu 0.5000 0.5000 0.5000
Co 0.0000 0.0000 0.0000
Er 0.0000 0.5000 0.0000
Er 0.0000 0.0000 0.5000
Er 0.5000 0.0000 0.0000

[7]
Density functional theory data (PBE-GGA) for an optimized crystal structure of Pr2SmCd2Hg2.

The calculation puts the calculated total energy at -2.67 eV/atom. The calculation puts the total magnetization at 0.00 μB/f.u. The crystal system is trigonal. For the formation energy, the calculation gives -0.28 eV per atom.

Cell lengths 4.9965, 4.9965, 9.5469 Å; angles 74.83, 74.83, 60.00 degrees
Fractional coordinates of all 7 atoms:
Pr 0.1253 0.1253 0.6242
Pr 0.8747 0.8747 0.3758
Sm 0.0000 0.0000 0.0000
Cd 0.7374 0.7374 0.7879
Cd 0.2626 0.2626 0.2121
Hg 0.6053 0.6053 0.1840
Hg 0.3947 0.3947 0.8160

[8]
Density functional theory data (PBE-GGA) for an optimized crystal structure of KMgIBr2.

The calculation puts the calculated total energy at -2.91 eV/atom. The calculation puts the total magnetization at 0.00 μB/f.u. The crystal system is tetragonal. For the energy above the most stable polymorph in this dataset, the calculation gives 0 meV/atom. For the formation energy (no corrections), the calculation gives -1.39 eV/atom.

Cell lengths 5.3335, 5.3335, 5.9383 Å; angles 90.00, 90.00, 90.00 degrees
Fractional coordinates of all 5 atoms:
I 0.0000 0.0000 0.5000
K 0.5000 0.5000 0.5000
Mg 0.0000 0.0000 0.0000
Br 0.0000 0.5000 0.0000
Br 0.5000 0.0000 0.0000

What did the sixth record say?
Density functional theory data (PBE-GGA) for an optimized crystal structure of EuEr3Co.

The calculation puts the calculated total energy at -6.29 eV/atom. The calculation puts the total magnetization at 7.53 μB/f.u. The crystal system is cubic. For the formation energy, the calculation gives -0.08 eV per atom.

Cell lengths 5.2897, 5.2897, 5.2897 Å; angles 90.00, 90.00, 90.00 degrees
Fractional coordinates of all 5 atoms:
Eu 0.5000 0.5000 0.5000
Co 0.0000 0.0000 0.0000
Er 0.0000 0.5000 0.0000
Er 0.0000 0.0000 0.5000
Er 0.5000 0.0000 0.0000